Entry 1:
Density functional theory data (GGA-PBE) for a relaxed InHg2W crystal.

Geometry as CIF:
```
data_InHg2W
_symmetry_space_group_name_H-M 'C m m m'
_symmetry_Int_Tables_number 65
_symmetry_space_group_name_Hall '-C 2 2'
_cell_length_a 2.891
_cell_length_b 5.359
_cell_length_c 11.340
_cell_angle_alpha 90.00
_cell_angle_beta 90.00
_cell_angle_gamma 90.00
loop_
_atom_site_label
_atom_site_type_symbol
_atom_site_fract_x
_atom_site_fract_y
_atom_site_fract_z
In1 In 0.000 0.000 0.000
Hg1 Hg 0.000 0.500 0.275
W1 W 0.000 0.000 0.500
```

Values from the calculation:
Fermi-level density of states in states/eV/atom: 0.737
Energy relative to the elements in kJ/mol of atoms: 62.92

***

Entry 2:
Density functional theory data (GGA-PBE) for a relaxed InHg2W crystal.

Geometry as CIF:
```
data_InHg2W
_symmetry_space_group_name_H-M 'I m m 2'
_symmetry_Int_Tables_number 44
_symmetry_space_group_name_Hall 'I 2 -2'
_cell_length_a 2.810
_cell_length_b 4.987
_cell_length_c 13.796
_cell_angle_alpha 90.00
_cell_angle_beta 90.00
_cell_angle_gamma 90.00
loop_
_atom_site_label
_atom_site_type_symbol
_atom_site_fract_x
_atom_site_fract_y
_atom_site_fract_z
In1 In 0.000 0.000 0.000
Hg1 Hg 0.000 0.000 0.369
Hg2 Hg 0.000 0.500 0.183
W1 W 0.000 0.500 0.684
```

Values from the calculation:
Fermi-level density of states in states/eV/atom: 0.753
Energy relative to the elements in kJ/mol of atoms: 60.05

***

Entry 3:
Density functional theory data (GGA-PBE) for a relaxed In3HgW crystal.

Geometry as CIF:
```
data_In3HgW
_symmetry_space_group_name_H-M 'P m -3 m'
_symmetry_Int_Tables_number 221
_symmetry_space_group_name_Hall '-P 4 2 3'
_cell_length_a 5.427
_cell_length_b 5.427
_cell_length_c 5.427
_cell_angle_alpha 90.00
_cell_angle_beta 90.00
_cell_angle_gamma 90.00
loop_
_atom_site_label
_atom_site_type_symbol
_atom_site_fract_x
_atom_site_fract_y
_atom_site_fract_z
In1 In 0.000 0.000 0.500
Hg1 Hg 0.000 0.000 0.000
W1 W 0.500 0.500 0.500
```

Values from the calculation:
Energy relative to the lowest polymorph listed for this composition in meV per atom: 841.0
Fermi-level density of states in states/eV/atom: 0.685
Energy relative to the elements in kJ/mol of atoms: 145.58

***

Entry 4:
Density functional theory data (GGA-PBE) for a relaxed In2Hg2W crystal.

Geometry as CIF:
```
data_In2Hg2W
_symmetry_space_group_name_H-M 'I 4/m m m'
_symmetry_Int_Tables_number 139
_symmetry_space_group_name_Hall '-I 4 2'
_cell_length_a 3.971
_cell_length_b 3.971
_cell_length_c 15.444
_cell_angle_alpha 90.00
_cell_angle_beta 90.00
_cell_angle_gamma 90.00
loop_
_atom_site_label
_atom_site_type_symbol
_atom_site_fract_x
_atom_site_fract_y
_atom_site_fract_z
In1 In 0.000 0.500 0.250
Hg1 Hg 0.000 0.000 0.091
W1 W 0.000 0.000 0.500
```

Values from the calculation:
Energy relative to the lowest polymorph listed for this composition in meV per atom: 232.4
Fermi-level density of states in states/eV/atom: 0.782
Energy relative to the elements in kJ/mol of atoms: 105.61

***

Entry 5:
Density functional theory data (GGA-PBE) for a relaxed InHg2W crystal.

Geometry as CIF:
```
data_InHg2W
_symmetry_space_group_name_H-M 'R 3 m'
_symmetry_Int_Tables_number 160
_symmetry_space_group_name_Hall 'R 3 -2"'
_cell_length_a 3.0985
_cell_length_b 3.0985
_cell_length_c 29.8593
_cell_angle_alpha 90.00
_cell_angle_beta 90.00
_cell_angle_gamma 120.00
loop_
_atom_site_label
_atom_site_type_symbol
_atom_site_fract_x
_atom_site_fract_y
_atom_site_fract_z
In1 In 0.0000 0.0000 0.0000
Hg1 Hg 0.0000 0.0000 0.2448
Hg2 Hg 0.0000 0.0000 0.4900
W1 W 0.0000 0.0000 0.7451
```

Values from the calculation:
Fermi-level density of states in states/eV/atom: 0.495
Energy relative to the elements in kJ/mol of atoms: 54.03

***

Entry 6:
Density functional theory data (GGA-PBE) for a relaxed InHg2W crystal.

Geometry as CIF:
```
data_InHg2W
_symmetry_space_group_name_H-M 'P 1 2/m 1'
_symmetry_Int_Tables_number 10
_symmetry_space_group_name_Hall '-P 2y'
_cell_length_a 2.942
_cell_length_b 5.391
_cell_length_c 5.246
_cell_angle_alpha 90.00
_cell_angle_beta 91.63
_cell_angle_gamma 90.00
loop_
_atom_site_label
_atom_site_type_symbol
_atom_site_fract_x
_atom_site_fract_y
_atom_site_fract_z
In1 In 0.000 0.000 0.000
Hg1 Hg 0.246 0.500 0.259
W1 W 0.500 0.000 0.500
```

Values from the calculation:
Fermi-level density of states in states/eV/atom: 0.667
Energy relative to the elements in kJ/mol of atoms: 66.99

***

Entry 7:
Density functional theory data (GGA-PBE) for a relaxed YIn2Hg2 crystal.

Geometry as CIF:
```
data_YIn2Hg2
_symmetry_space_group_name_H-M 'P 4/m b m'
_symmetry_Int_Tables_number 127
_symmetry_space_group_name_Hall '-P 4 2ab'
_cell_length_a 8.154
_cell_length_b 8.154
_cell_length_c 3.901
_cell_angle_alpha 90.00
_cell_angle_beta 90.00
_cell_angle_gamma 90.00
loop_
_atom_site_label
_atom_site_type_symbol
_atom_site_fract_x
_atom_site_fract_y
_atom_site_fract_z
Y1 Y 0.000 0.000 0.000
In1 In 0.174 0.326 0.500
Hg1 Hg 0.129 0.629 0.000
```

Values from the calculation:
Energy relative to the lowest polymorph listed for this composition in meV per atom: 0.0
Fermi-level density of states in states/eV/atom: 0.551
Energy relative to the elements in kJ/mol of atoms: -16.53

***

Entry 8:
Density functional theory data (GGA-PBE) for a relaxed Y5InHg3 crystal.

Geometry as CIF:
```
data_Y5InHg3
_symmetry_space_group_name_H-M 'P 63/m c m'
_symmetry_Int_Tables_number 193
_symmetry_space_group_name_Hall '-P 6c 2'
_cell_length_a 9.1633
_cell_length_b 9.1633
_cell_length_c 6.6924
_cell_angle_alpha 90.00
_cell_angle_beta 90.00
_cell_angle_gamma 120.00
loop_
_atom_site_label
_atom_site_type_symbol
_atom_site_fract_x
_atom_site_fract_y
_atom_site_fract_z
Y1 Y 0.0000 0.2947 0.2500
Y2 Y 0.3333 0.6667 0.0000
In1 In 0.0000 0.0000 0.0000
Hg1 Hg 0.0000 0.3737 0.7500
```

Values from the calculation:
Fermi-level density of states in states/eV/atom: 0.924
Energy relative to the elements in kJ/mol of atoms: -41.40